## Er2TmMg3Ir3 (PBE)

Data for an optimized crystal structure of Er2TmMg3Ir3.

The space group is Amm2 (No. 38) and the conventional cell measures 4.0363, 12.4665 and 7.2022 Å, with angles of 90.00, 90.00 and 90.00 degrees. The distinct sites, in fractional coordinates, are Er at (0.0000, 0.2043, 0.0000), Tm at (0.0000, 0.0000, 0.6122), Mg at (0.5000, 0.0000, 0.9579), Mg at (0.5000, 0.1231, 0.3276), Ir at (0.0000, 0.0000, 0.2049) and Ir at (0.5000, 0.1662, 0.7041).

The final energy comes out at -5.6831 eV/atom.